No. 1
# MnCdAs2 PBE optimized geometry
# crystal system = monoclinic
data_MnCdAs2
_chemical_formula_sum 'Mn1 Cd1 As2'
_cell_length_a 3.953
_cell_length_b 3.624
_cell_length_c 5.791
_cell_angle_alpha 90.00
_cell_angle_beta 106.15
_cell_angle_gamma 90.00
_space_group_name_H-M_alt 'P 1 2/m 1'
_space_group_IT_number 10
_space_group_name_Hall '-P 2y'
loop_
_atom_site_label
_atom_site_type_symbol
_atom_site_fract_x
_atom_site_fract_y
_atom_site_fract_z
Mn1 Mn 0.000 0.000 0.000
Cd1 Cd 0.000 0.000 0.500
As1 As 0.435 0.500 0.199


No. 2
# MnCdAs2 PBE optimized geometry
# crystal system = tetragonal
data_MnCdAs2
_chemical_formula_sum 'Mn2 Cd2 As4'
_cell_length_a 3.949
_cell_length_b 3.949
_cell_length_c 9.770
_cell_angle_alpha 90.00
_cell_angle_beta 90.00
_cell_angle_gamma 90.00
_space_group_name_H-M_alt 'I -4 m 2'
_space_group_IT_number 119
_space_group_name_Hall 'I -4 -2'
loop_
_atom_site_label
_atom_site_type_symbol
_atom_site_fract_x
_atom_site_fract_y
_atom_site_fract_z
Mn1 Mn 0.000 0.000 0.000
Cd1 Cd 0.000 0.500 0.250
As1 As 0.000 0.000 0.500
As2 As 0.000 0.500 0.750


No. 3
# MnCdAs2 PBE optimized geometry
# crystal system = orthorhombic
data_MnCdAs2
_chemical_formula_sum 'Mn2 Cd2 As4'
_cell_length_a 3.031
_cell_length_b 3.798
_cell_length_c 13.541
_cell_angle_alpha 90.00
_cell_angle_beta 90.00
_cell_angle_gamma 90.00
_space_group_name_H-M_alt 'I m m 2'
_space_group_IT_number 44
_space_group_name_Hall 'I 2 -2'
loop_
_atom_site_label
_atom_site_type_symbol
_atom_site_fract_x
_atom_site_fract_y
_atom_site_fract_z
Mn1 Mn 0.000 0.000 0.000
Cd1 Cd 0.000 0.500 0.273
As1 As 0.000 0.000 0.439
As2 As 0.000 0.500 0.649


No. 4
# Mn2CdAs PBE optimized geometry
# energy relative to the lowest polymorph listed for this composition = 0.0 meV/atom
# crystal system = monoclinic
data_Mn2CdAs
_chemical_formula_sum 'Mn2 Cd1 As1'
_cell_length_a 3.198
_cell_length_b 3.192
_cell_length_c 6.304
_cell_angle_alpha 90.00
_cell_angle_beta 90.07
_cell_angle_gamma 90.00
_space_group_name_H-M_alt 'P 1 2/m 1'
_space_group_IT_number 10
_space_group_name_Hall '-P 2y'
loop_
_atom_site_label
_atom_site_type_symbol
_atom_site_fract_x
_atom_site_fract_y
_atom_site_fract_z
Mn1 Mn 0.000 0.000 0.210
Cd1 Cd 0.500 0.500 0.500
As1 As 0.500 0.500 0.000


No. 5
# MnCdAs PBE optimized geometry
# energy relative to the lowest polymorph listed for this composition = 302.6 meV/atom
# crystal system = cubic
data_MnCdAs
_chemical_formula_sum 'Mn4 Cd4 As4'
_cell_length_a 6.336
_cell_length_b 6.336
_cell_length_c 6.336
_cell_angle_alpha 90.00
_cell_angle_beta 90.00
_cell_angle_gamma 90.00
_space_group_name_H-M_alt 'F -4 3 m'
_space_group_IT_number 216
_space_group_name_Hall 'F -4 2 3'
loop_
_atom_site_label
_atom_site_type_symbol
_atom_site_fract_x
_atom_site_fract_y
_atom_site_fract_z
Mn1 Mn 0.000 0.000 0.000
Cd1 Cd 0.000 0.000 0.500
As1 As 0.250 0.250 0.750


No. 6
# MnCdAs PBE optimized geometry
# energy relative to the lowest polymorph listed for this composition = 156.2 meV/atom
# crystal system = tetragonal
data_MnCdAs
_chemical_formula_sum 'Mn2 Cd2 As2'
_cell_length_a 3.191
_cell_length_b 3.191
_cell_length_c 10.700
_cell_angle_alpha 90.00
_cell_angle_beta 90.00
_cell_angle_gamma 90.00
_space_group_name_H-M_alt 'I 4 m m'
_space_group_IT_number 107
_space_group_name_Hall 'I 4 -2'
loop_
_atom_site_label
_atom_site_type_symbol
_atom_site_fract_x
_atom_site_fract_y
_atom_site_fract_z
Mn1 Mn 0.000 0.000 0.000
Cd1 Cd 0.000 0.000 0.684
As1 As 0.000 0.000 0.399


No. 7
# MnCdAs PBE optimized geometry
# energy relative to the lowest polymorph listed for this composition = 0.0 meV/atom
# crystal system = tetragonal
data_MnCdAs
_chemical_formula_sum 'Mn2 Cd2 As2'
_cell_length_a 4.232
_cell_length_b 4.232
_cell_length_c 6.261
_cell_angle_alpha 90.00
_cell_angle_beta 90.00
_cell_angle_gamma 90.00
_space_group_name_H-M_alt 'P 4/n m m'
_space_group_IT_number 129
loop_
_space_group_symop_operation_xyz
'x,y,z'
'-x,-y,-z'
'-y+1/2,x,z'
'y+1/2,-x,-z'
'-x+1/2,-y+1/2,z'
'x+1/2,y+1/2,-z'
'y,-x+1/2,z'
'-y,x+1/2,-z'
'x+1/2,-y,-z'
'-x+1/2,y,z'
'-y,-x,-z'
'y,x,z'
'-x,y+1/2,-z'
'x,-y+1/2,z'
'y+1/2,x+1/2,-z'
'-y+1/2,-x+1/2,z'
loop_
_atom_site_label
_atom_site_type_symbol
_atom_site_fract_x
_atom_site_fract_y
_atom_site_fract_z
Mn1 Mn 0.250 0.750 0.000
Cd1 Cd 0.250 0.250 0.327
As1 As 0.250 0.250 0.763


No. 8
# MnCdAs2 PBE optimized geometry
# crystal system = tetragonal
data_MnCdAs2
_chemical_formula_sum 'Mn1 Cd1 As2'
_cell_length_a 4.517
_cell_length_b 4.517
_cell_length_c 3.695
_cell_angle_alpha 90.00
_cell_angle_beta 90.00
_cell_angle_gamma 90.00
_space_group_name_H-M_alt 'P 4/m m m'
_space_group_IT_number 123
_space_group_name_Hall '-P 4 2'
loop_
_atom_site_label
_atom_site_type_symbol
_atom_site_fract_x
_atom_site_fract_y
_atom_site_fract_z
Mn1 Mn 0.000 0.000 0.000
Cd1 Cd 0.500 0.500 0.000
As1 As 0.000 0.500 0.500


No. 9
# MnCdAs PBE optimized geometry
# energy relative to the lowest polymorph listed for this composition = 192.1 meV/atom
# crystal system = trigonal
data_MnCdAs
_chemical_formula_sum 'Mn1 Cd1 As1'
_cell_length_a 3.2267
_cell_length_b 3.2267
_cell_length_c 6.2957
_cell_angle_alpha 90.00
_cell_angle_beta 90.00
_cell_angle_gamma 120.00
_space_group_name_H-M_alt 'P 3 m 1'
_space_group_IT_number 156
_space_group_name_Hall 'P 3 -2"'
loop_
_atom_site_label
_atom_site_type_symbol
_atom_site_fract_x
_atom_site_fract_y
_atom_site_fract_z
Mn1 Mn 0.0000 0.0000 0.0000
Cd1 Cd 0.6667 0.3333 0.6557
As1 As 0.3333 0.6667 0.2409


No. 10
# Mn2CdAs PBE optimized geometry
# energy relative to the lowest polymorph listed for this composition = 108.7 meV/atom
# crystal system = monoclinic
data_Mn2CdAs
_chemical_formula_sum 'Mn2 Cd1 As1'
_cell_length_a 2.948
_cell_length_b 4.338
_cell_length_c 5.272
_cell_angle_alpha 90.00
_cell_angle_beta 94.43
_cell_angle_gamma 90.00
_space_group_name_H-M_alt 'P 1 m 1'
_space_group_IT_number 6
_space_group_name_Hall 'P -2y'
loop_
_atom_site_label
_atom_site_type_symbol
_atom_site_fract_x
_atom_site_fract_y
_atom_site_fract_z
Mn1 Mn 0.000 0.000 0.000
Mn2 Mn 0.117 0.500 0.706
Cd1 Cd 0.563 0.000 0.502
As1 As 0.619 0.500 0.106


No. 11
# Mn2CdAs2 PBE optimized geometry
# crystal system = tetragonal
data_Mn2CdAs2
_chemical_formula_sum 'Mn4 Cd2 As4'
_cell_length_a 4.101
_cell_length_b 4.101
_cell_length_c 9.819
_cell_angle_alpha 90.00
_cell_angle_beta 90.00
_cell_angle_gamma 90.00
_space_group_name_H-M_alt 'I 4/m m m'
_space_group_IT_number 139
_space_group_name_Hall '-I 4 2'
loop_
_atom_site_label
_atom_site_type_symbol
_atom_site_fract_x
_atom_site_fract_y
_atom_site_fract_z
Mn1 Mn 0.000 0.500 0.250
Cd1 Cd 0.000 0.000 0.000
As1 As 0.000 0.000 0.372


No. 12
# MnCdAs2 PBE optimized geometry
# crystal system = tetragonal
data_MnCdAs2
_chemical_formula_sum 'Mn1 Cd1 As2'
_cell_length_a 2.940
_cell_length_b 2.940
_cell_length_c 8.592
_cell_angle_alpha 90.00
_cell_angle_beta 90.00
_cell_angle_gamma 90.00
_space_group_name_H-M_alt 'P 4/m m m'
_space_group_IT_number 123
_space_group_name_Hall '-P 4 2'
loop_
_atom_site_label
_atom_site_type_symbol
_atom_site_fract_x
_atom_site_fract_y
_atom_site_fract_z
Mn1 Mn 0.000 0.000 0.000
Cd1 Cd 0.000 0.000 0.500
As1 As 0.500 0.500 0.168


No. 13
# Mn2CdAs PBE optimized geometry
# energy relative to the lowest polymorph listed for this composition = 152.3 meV/atom
# crystal system = monoclinic
data_Mn2CdAs
_chemical_formula_sum 'Mn2 Cd1 As1'
_cell_length_a 4.682
_cell_length_b 3.031
_cell_length_c 5.371
_cell_angle_alpha 90.00
_cell_angle_beta 114.15
_cell_angle_gamma 90.00
_space_group_name_H-M_alt 'P 1 2/m 1'
_space_group_IT_number 10
_space_group_name_Hall '-P 2y'
loop_
_atom_site_label
_atom_site_type_symbol
_atom_site_fract_x
_atom_site_fract_y
_atom_site_fract_z
Mn1 Mn 0.000 0.000 0.000
Mn2 Mn 0.000 0.500 0.500
Cd1 Cd 0.500 0.000 0.500
As1 As 0.500 0.500 0.000


No. 14
# Mn2CdAs PBE optimized geometry
# energy relative to the lowest polymorph listed for this composition = 69.5 meV/atom
# crystal system = monoclinic
data_Mn2CdAs
_chemical_formula_sum 'Mn4 Cd2 As2'
_cell_length_a 10.126
_cell_length_b 3.428
_cell_length_c 4.242
_cell_angle_alpha 90.00
_cell_angle_beta 114.39
_cell_angle_gamma 90.00
_space_group_name_H-M_alt 'C 1 m 1'
_space_group_IT_number 8
_space_group_name_Hall 'C -2y'
loop_
_atom_site_label
_atom_site_type_symbol
_atom_site_fract_x
_atom_site_fract_y
_atom_site_fract_z
Mn1 Mn 0.000 0.000 0.000
Mn2 Mn 0.243 0.000 0.744
Cd1 Cd 0.472 0.000 0.473
As1 As 0.210 0.500 0.208


No. 15
# MnCdAs2 PBE optimized geometry
# crystal system = tetragonal
data_MnCdAs2
_chemical_formula_sum 'Mn1 Cd1 As2'
_cell_length_a 3.451
_cell_length_b 3.451
_cell_length_c 7.320
_cell_angle_alpha 90.00
_cell_angle_beta 90.00
_cell_angle_gamma 90.00
_space_group_name_H-M_alt 'P 4 m m'
_space_group_IT_number 99
_space_group_name_Hall 'P 4 -2'
loop_
_atom_site_label
_atom_site_type_symbol
_atom_site_fract_x
_atom_site_fract_y
_atom_site_fract_z
Mn1 Mn 0.000 0.000 0.000
Cd1 Cd 0.500 0.500 0.536
As1 As 0.000 0.000 0.341
As2 As 0.500 0.500 0.901


No. 16
# Mn2CdAs PBE optimized geometry
# energy relative to the lowest polymorph listed for this composition = 1.3 meV/atom
# crystal system = tetragonal
data_Mn2CdAs
_chemical_formula_sum 'Mn2 Cd1 As1'
_cell_length_a 2.841
_cell_length_b 2.841
_cell_length_c 7.889
_cell_angle_alpha 90.00
_cell_angle_beta 90.00
_cell_angle_gamma 90.00
_space_group_name_H-M_alt 'P 4 m m'
_space_group_IT_number 99
_space_group_name_Hall 'P 4 -2'
loop_
_atom_site_label
_atom_site_type_symbol
_atom_site_fract_x
_atom_site_fract_y
_atom_site_fract_z
Mn1 Mn 0.000 0.000 0.000
Mn2 Mn 0.500 0.500 0.175
Cd1 Cd 0.500 0.500 0.748
As1 As 0.000 0.000 0.371


No. 17
# MnCdMo2As PBE optimized geometry
# crystal system = tetragonal
data_MnCdMo2As
_chemical_formula_sum 'Mn1 Cd1 Mo2 As1'
_cell_length_a 4.653
_cell_length_b 4.653
_cell_length_c 4.338
_cell_angle_alpha 90.00
_cell_angle_beta 90.00
_cell_angle_gamma 90.00
_space_group_name_H-M_alt 'P 4/m m m'
_space_group_IT_number 123
_space_group_name_Hall '-P 4 2'
loop_
_atom_site_label
_atom_site_type_symbol
_atom_site_fract_x
_atom_site_fract_y
_atom_site_fract_z
Mn1 Mn 0.000 0.000 0.000
Cd1 Cd 0.500 0.500 0.000
Mo1 Mo 0.000 0.500 0.500
As1 As 0.000 0.000 0.500


Number 1: calculated volume 79.67 Å³/f.u., E -4.76 eV per atom, energy relative to the elements 0.341 eV/f.u.. Number 2: calculated volume 76.16 Å³/f.u., E -4.61 eV per atom, energy relative to the elements 0.931 eV/f.u.. Number 3: calculated volume 77.94 Å³/f.u., E -4.78 eV per atom, energy relative to the elements 0.246 eV/f.u.. Number 4: calculated volume 64.36 Å³/f.u., E -5.83 eV per atom, energy relative to the elements 0.577 eV/f.u.. Number 5: calculated volume 63.59 Å³/f.u., E -4.65 eV per atom, energy relative to the elements 0.770 eV/f.u.. Number 6: calculated volume 54.47 Å³/f.u., E -4.80 eV per atom, energy relative to the elements 0.331 eV/f.u.. Number 7: calculated volume 56.08 Å³/f.u., E -4.96 eV per atom, energy relative to the elements -0.138 eV/f.u.. Number 8: calculated volume 75.40 Å³/f.u., E -4.61 eV per atom, energy relative to the elements 0.953 eV/f.u.. Number 9: calculated volume 56.77 Å³/f.u., E -4.77 eV per atom, energy relative to the elements 0.438 eV/f.u.. Number 10: calculated volume 67.22 Å³/f.u., E -5.72 eV per atom, energy relative to the elements 1.012 eV/f.u.. Number 11: calculated volume 82.57 Å³/f.u., E -5.68 eV per atom, energy relative to the elements 0.145 eV/f.u.. Number 12: calculated volume 74.27 Å³/f.u., E -4.82 eV per atom, energy relative to the elements 0.103 eV/f.u.. Number 13: calculated volume 69.54 Å³/f.u., E -5.68 eV per atom, energy relative to the elements 1.187 eV/f.u.. Number 14: calculated volume 67.05 Å³/f.u., E -5.76 eV per atom, energy relative to the elements 0.855 eV/f.u.. Number 15: calculated volume 87.16 Å³/f.u., E -4.77 eV per atom, energy relative to the elements 0.321 eV/f.u.. Number 16: calculated volume 63.68 Å³/f.u., E -5.83 eV per atom, energy relative to the elements 0.582 eV/f.u.. Number 17: calculated volume 93.91 Å³/f.u., E -6.26 eV per atom, energy relative to the elements 5.118 eV/f.u..